[1]
The following is a PBE-GGA calculation of a relaxed structure of Na3In9Ir2, from Alexandria.

Output
- ΔH_f (0 K) (eV/atom) = -0.03

Lattice parameters (Å, degrees): 4.5126 11.4281 12.8050 90.00 90.00 90.00
Space group Immm (No. 71)
Unique sites:
Na (0.0000, 0.0000, 0.0000) [2 per cell]
Na (0.0000, 0.0000, 0.2954) [4 per cell]
In (0.0000, 0.2953, 0.1371) [8 per cell]
In (0.0000, 0.3669, 0.3690) [8 per cell]
In (0.0000, 0.5000, 0.0000) [2 per cell]
Ir (0.0000, 0.1603, 0.5000) [4 per cell]

[2]
The following is a PBE-GGA calculation of a relaxed structure of Na2In4Ir, from Alexandria.

Output
- ΔH_f (0 K) (eV/atom) = -0.01

Lattice parameters (Å, degrees): 5.1700 5.1700 15.6921 90.00 90.00 90.00
Space group I4/mmm (No. 139)
Unique sites:
Na (0.0000, 0.0000, 0.1372) [4 per cell]
In (0.0000, 0.0000, 0.3277) [4 per cell]
In (0.0000, 0.5000, 0.0000) [4 per cell]
Ir (0.0000, 0.0000, 0.5000) [2 per cell]

[3]
The following is a PBE-GGA calculation of a relaxed structure of NaIn3Ir, from Alexandria.

Output
- ΔH_f (0 K) (eV/atom) = 1.30
- energy above the lowest structure with this stoichiometry (eV/f.u.) = 7.22

Lattice parameters (Å, degrees): 5.1540 5.1540 5.1540 90.00 90.00 90.00
Space group Pm-3m (No. 221)
Unique sites:
Na (0.0000, 0.0000, 0.0000) [1 per cell]
In (0.0000, 0.0000, 0.5000) [3 per cell]
Ir (0.5000, 0.5000, 0.5000) [1 per cell]

[4]
The following is a PBE-GGA calculation of a relaxed structure of NaIn3Ir, from Alexandria.

Output
- ΔH_f (0 K) (eV/atom) = -0.13
- energy above the lowest structure with this stoichiometry (eV/f.u.) = 0.06

Lattice parameters (Å, degrees): 9.2789 4.4822 11.6761 90.00 90.00 90.00
Space group Pnma (No. 62)
Unique sites:
Na (0.1987, 0.2500, 0.0009) [4 per cell]
In (0.0592, 0.2500, 0.5797) [4 per cell]
In (0.1073, 0.7500, 0.8000) [4 per cell]
In (0.1628, 0.7500, 0.2178) [4 per cell]
Ir (0.1102, 0.2500, 0.3491) [4 per cell]

[5]
The following is a PBE-GGA calculation of a relaxed structure of NaIn6Ir, from Alexandria.

Output
- ΔH_f (0 K) (eV/atom) = 0.00

Lattice parameters (Å, degrees): 4.4432 8.5395 10.0807 90.00 90.00 90.00
Space group Amm2 (No. 38)
Unique sites:
Na (0.0000, 0.0000, 0.0000) [2 per cell]
In (0.0000, 0.2268, 0.2714) [4 per cell]
In (0.5000, 0.0000, 0.2137) [2 per cell]
In (0.5000, 0.0000, 0.7878) [2 per cell]
In (0.5000, 0.1847, 0.5075) [4 per cell]
Ir (0.0000, 0.0000, 0.6225) [2 per cell]

[6]
The following is a PBE-GGA calculation of a relaxed structure of NaIn9Ir2, from Alexandria.

Output
- ΔH_f (0 K) (eV/atom) = -0.01

Lattice parameters (Å, degrees): 12.3228 12.3228 7.3853 90.00 90.00 90.00
Space group I4_1/amd (No. 141, origin choice 2)
Unique sites:
Na (0.0000, 0.2500, 0.3750) [4 per cell]
In (0.0000, 0.2500, 0.8750) [4 per cell]
In (0.1205, 0.0657, 0.6723) [32 per cell]
Ir (0.0000, 0.0000, 0.0000) [8 per cell]

[7]
The following is a PBE-GGA calculation of a relaxed structure of NaIn3Ir, from Alexandria.

Output
- ΔH_f (0 K) (eV/atom) = -0.15
- energy above the lowest structure with this stoichiometry (eV/f.u.) = 0.00

Lattice parameters (Å, degrees): 8.6767 12.7096 4.1799 90.00 90.00 90.00
Space group Cmmm (No. 65)
Unique sites:
Na (0.0000, 0.2074, 0.0000) [4 per cell]
In (0.0000, 0.0000, 0.5000) [2 per cell]
In (0.0000, 0.5000, 0.0000) [2 per cell]
In (0.1962, 0.3637, 0.5000) [8 per cell]
Ir (0.1966, 0.0000, 0.0000) [4 per cell]

[8]
The following is a PBE-GGA calculation of a relaxed structure of NaIn6Ir6, from Alexandria.

Output
- ΔH_f (0 K) (eV/atom) = -0.07

Lattice parameters (Å, degrees): 5.6261 9.0233 9.7093 90.00 90.00 90.00
Space group Immm (No. 71)
Unique sites:
Na (0.0000, 0.0000, 0.0000) [2 per cell]
In (0.0000, 0.0000, 0.3353) [4 per cell]
In (0.0000, 0.3274, 0.0000) [4 per cell]
In (0.0000, 0.5000, 0.3312) [4 per cell]
Ir (0.0000, 0.2523, 0.5000) [4 per cell]
Ir (0.2500, 0.2500, 0.2500) [8 per cell]

[9]
The following is a PBE-GGA calculation of a relaxed structure of NaIn2Ir2, from Alexandria.

Output
- ΔH_f (0 K) (eV/atom) = 0.14
- energy above the lowest structure with this stoichiometry (eV/f.u.) = 1.09

Lattice parameters (Å, degrees): 4.1282 4.1282 12.4810 90.00 90.00 90.00
Space group I4/mmm (No. 139)
Unique sites:
Na (0.0000, 0.0000, 0.0000) [2 per cell]
In (0.0000, 0.0000, 0.3861) [4 per cell]
Ir (0.0000, 0.5000, 0.2500) [4 per cell]

[10]
The following is a PBE-GGA calculation of a relaxed structure of NaInIr, from Alexandria.

Output
- ΔH_f (0 K) (eV/atom) = 0.19

Lattice parameters (Å, degrees): 3.3069 3.3069 11.4504 90.00 90.00 90.00
Space group I4mm (No. 107)
Unique sites:
Na (0.0000, 0.0000, 0.0000) [2 per cell]
In (0.0000, 0.0000, 0.7121) [2 per cell]
Ir (0.0000, 0.0000, 0.3306) [2 per cell]

[11]
The following is a PBE-GGA calculation of a relaxed structure of NaInIr3, from Alexandria.

Output
- ΔH_f (0 K) (eV/atom) = 1.93
- energy above the lowest structure with this stoichiometry (eV/f.u.) = 0.83

Lattice parameters (Å, degrees): 4.5254 4.5254 4.5254 90.00 90.00 90.00
Space group Pm-3m (No. 221)
Unique sites:
Na (0.0000, 0.0000, 0.0000) [1 per cell]
In (0.5000, 0.5000, 0.5000) [1 per cell]
Ir (0.0000, 0.0000, 0.5000) [3 per cell]

[12]
The following is a PBE-GGA calculation of a relaxed structure of NaInIr, from Alexandria.

Output
- ΔH_f (0 K) (eV/atom) = 0.10

Lattice parameters (Å, degrees): 4.7337 4.7337 18.9531 90.00 90.00 120.00
Space group R-3m (No. 166, hexagonal axes)
Unique sites:
Na (0.0000, 0.0000, 0.1275) [6 per cell]
In (0.0000, 0.0000, 0.2875) [6 per cell]
Ir (0.0000, 0.0000, 0.4335) [6 per cell]

[13]
The following is a PBE-GGA calculation of a relaxed structure of NaIn3Ir, from Alexandria.

Output
- ΔH_f (0 K) (eV/atom) = -0.12
- energy above the lowest structure with this stoichiometry (eV/f.u.) = 0.15

Lattice parameters (Å, degrees): 5.2053 5.2053 5.2053 90.00 90.00 90.00
Space group Pm-3m (No. 221)
Unique sites:
Na (0.0000, 0.0000, 0.0000) [1 per cell]
In (0.0000, 0.5000, 0.5000) [3 per cell]
Ir (0.5000, 0.5000, 0.5000) [1 per cell]